Record 1
! PrMgIr, optimized geometry, DFT PBE-GGA; values from VASP
&SYSTEM
  ibrav = 0, nat = 18, ntyp = 3
/
ATOMIC_SPECIES
Mg 24.30 Mg.upf
Ir 192.22 Ir.upf
Pr 140.91 Pr.upf
CELL_PARAMETERS angstrom
-2.6241 -1.6539 2.8376
-4.9298 -1.4034 -5.3769
5.3028 -11.5901 -1.8517
ATOMIC_POSITIONS angstrom
Mg -1.3985 -3.2641 -1.6388
Mg -0.2201 -1.3932 0.5415
Mg -2.4820 -6.9701 -4.8008
Ir 0.7610 -10.2983 -0.6277
Pr -4.7501 -3.1259 -1.5435
Pr -1.5885 -10.0400 -5.7639
Pr -0.6626 -4.6075 1.3729
Ir -2.5940 -9.0747 -3.0171
Pr -2.6189 -6.3916 -1.4762
Ir -2.7457 -2.5144 0.6665
Pr 2.4990 -11.5216 -2.8476
Ir -3.0121 -4.3491 -3.7634
Ir 0.4946 -12.1330 -5.0575
Ir 0.3429 -5.5727 -1.3740
Mg 0.2309 -7.6773 0.4098
Mg -0.8525 -11.3833 -2.7522
Pr 0.3678 -8.2558 -2.9149
Mg -2.0310 -13.2542 -4.9325
! Energy of formation, eV per atom: -0.58
! V, Å³/atom: 22.35
! M_tot, μB per formula unit: 0.0
! Calculated total energy, eV per atom: -5.6570
! SG: P2_1/m, No. 11

Record 2
! Pr2MgIr, optimized geometry, DFT PBE-GGA; values from VASP
&SYSTEM
  ibrav = 0, nat = 4, ntyp = 3
/
ATOMIC_SPECIES
Pr 140.91 Pr.upf
Ir 192.22 Ir.upf
Mg 24.30 Mg.upf
CELL_PARAMETERS angstrom
-0.6108 4.0642 0.3650
-1.3615 2.1797 -3.2279
-10.3290 0.3656 1.9665
ATOMIC_POSITIONS angstrom
Pr -5.3472 5.6452 -1.8436
Pr -6.9540 0.9643 0.9473
Ir -6.1506 3.3047 -0.4482
Mg 0.0000 0.0000 0.0000
! Energy of formation, eV per atom: -0.12
! E above lowest polymorph, meV/atom: 211
! V, Å³/atom: 37.77
! M_tot, μB per formula unit: 0.0
! Calculated total energy, eV per atom: -5.1196
! SG: R-3m, No. 166

Record 3
! Pr2MgIr2, optimized geometry, DFT PBE-GGA; values from VASP
&SYSTEM
  ibrav = 0, nat = 10, ntyp = 3
/
ATOMIC_SPECIES
Pr 140.91 Pr.upf
Mg 24.30 Mg.upf
Ir 192.22 Ir.upf
CELL_PARAMETERS angstrom
-1.1426 0.7922 -5.5075
-2.4881 -4.5807 2.7866
-4.7599 6.4876 1.9207
ATOMIC_POSITIONS angstrom
Pr -1.9901 0.0088 -1.6327
Mg -2.1895 2.3149 -4.3376
Ir -6.4905 3.1010 3.8358
Mg -3.7130 4.9649 0.7507
Ir -4.9076 0.4097 -0.9661
Pr -3.6764 -0.7921 1.5312
Ir -1.9001 -0.4019 -4.6361
Ir -3.4830 2.2894 0.1658
Pr -4.7143 3.4912 -2.3315
Pr -6.4005 2.6903 0.8324
! Energy of formation, eV per atom: -0.59
! V, Å³/atom: 23.30
! M_tot, μB per formula unit: 0.0
! Calculated total energy, eV per atom: -6.3634
! SG: C2/c, No. 15

Record 4
! Pr8MgIr2, optimized geometry, DFT PBE-GGA; values from VASP
&SYSTEM
  ibrav = 0, nat = 11, ntyp = 3
/
ATOMIC_SPECIES
Pr 140.91 Pr.upf
Mg 24.30 Mg.upf
Ir 192.22 Ir.upf
CELL_PARAMETERS angstrom
6.6102 -0.1759 -0.1462
-0.0803 7.6975 0.7524
-0.0803 2.1470 7.4302
ATOMIC_POSITIONS angstrom
Pr 1.0988 7.5115 3.8413
Pr 1.0988 5.1498 6.6826
Mg 0.0000 0.0000 0.0000
Pr 2.6245 8.4698 7.0400
Ir 6.4076 7.5604 6.2841
Pr 2.0082 3.7351 3.1045
Ir 0.0420 2.1081 1.7523
Pr 3.8250 1.1988 0.9964
Pr 5.3508 2.1571 4.1951
Pr 4.4414 5.9335 4.9319
Pr 5.3508 4.5188 1.3538
! Energy of formation, eV per atom: -0.22
! V, Å³/atom: 33.38
! M_tot, μB per formula unit: 0.0
! Calculated total energy, eV per atom: -5.4548
! SG: C2/m, No. 12

Record 5
! PrMgIr, optimized geometry, DFT PBE-GGA; values from VASP
&SYSTEM
  ibrav = 0, nat = 12, ntyp = 3
/
ATOMIC_SPECIES
Ir 192.22 Ir.upf
Mg 24.30 Mg.upf
Pr 140.91 Pr.upf
CELL_PARAMETERS angstrom
4.2136 0.0000 0.0000
0.0000 8.7243 0.0000
0.0000 0.0000 7.2922
ATOMIC_POSITIONS angstrom
Ir 3.1602 5.4624 1.8603
Mg 3.1602 4.8724 4.6181
Pr 3.1602 1.5521 3.9254
Pr 1.0534 5.9143 7.0129
Mg 1.0534 3.8520 2.6741
Pr 3.1602 2.8100 0.2793
Mg 1.0534 0.5102 6.3202
Ir 3.1602 7.6241 5.5064
Pr 1.0534 7.1722 3.3668
Mg 3.1602 8.2141 0.9720
Ir 1.0534 3.2620 5.4319
Ir 1.0534 1.1002 1.7858
! Energy of formation, eV per atom: -0.58
! V, Å³/atom: 22.34
! M_tot, μB per formula unit: 0.0
! Calculated total energy, eV per atom: -5.6560
! SG: Pnma, No. 62

Record 6
! PrMgIr, optimized geometry, DFT PBE-GGA; values from VASP
&SYSTEM
  ibrav = 0, nat = 3, ntyp = 3
/
ATOMIC_SPECIES
Pr 140.91 Pr.upf
Ir 192.22 Ir.upf
Mg 24.30 Mg.upf
CELL_PARAMETERS angstrom
-3.9177 0.2862 -0.1600
-0.1901 -3.8820 -2.2906
-0.1862 -0.0291 4.5075
ATOMIC_POSITIONS angstrom
Pr -2.8002 -1.1225 2.1348
Ir -0.6505 0.0475 -0.0266
Mg -0.8433 -2.5499 -0.0513
! Energy of formation, eV per atom: -0.35
! V, Å³/atom: 23.10
! M_tot, μB per formula unit: 0.0
! Calculated total energy, eV per atom: -5.4244
! SG: P-6m2, No. 187

Record 7
! PrMg4Ir, optimized geometry, DFT PBE-GGA; values from VASP
&SYSTEM
  ibrav = 0, nat = 12, ntyp = 3
/
ATOMIC_SPECIES
Ir 192.22 Ir.upf
Mg 24.30 Mg.upf
Pr 140.91 Pr.upf
CELL_PARAMETERS angstrom
-0.3759 -0.3595 4.2818
-6.1727 -4.1570 -0.8910
4.8313 -7.1364 -0.1751
ATOMIC_POSITIONS angstrom
Ir 2.3192 -6.2307 -0.3196
Mg 0.7935 -2.1163 2.0644
Mg -4.1796 -3.5673 1.5060
Pr -1.2953 -3.4698 -0.4051
Pr -0.0462 -7.8236 -0.6610
Mg 0.6971 -5.4782 1.7737
Mg 2.4156 -3.5682 -0.0876
Mg -2.4144 -6.1748 1.4420
Mg 2.4623 -8.0856 1.7097
Mg 0.0000 0.0000 0.0000
Mg -2.5108 -9.5366 1.1512
Ir -3.6606 -5.0627 -0.7465
! Energy of formation, eV per atom: -0.30
! V, Å³/atom: 23.22
! M_tot, μB per formula unit: 0.0
! Calculated total energy, eV per atom: -3.6386
! SG: Pmma, No. 51

Record 8
! PrMgIr, optimized geometry, DFT PBE-GGA; values from VASP
&SYSTEM
  ibrav = 0, nat = 3, ntyp = 3
/
ATOMIC_SPECIES
Ir 192.22 Ir.upf
Pr 140.91 Pr.upf
Mg 24.30 Mg.upf
CELL_PARAMETERS angstrom
3.3925 0.0000 0.0000
0.0000 3.3925 0.0000
-1.6962 -1.6962 5.9913
ATOMIC_POSITIONS angstrom
Ir 1.6962 1.6962 5.5049
Pr 0.0000 0.0000 3.7297
Mg 1.6962 1.6962 0.9506
! Energy of formation, eV per atom: -0.33
! V, Å³/atom: 22.98
! M_tot, μB per formula unit: 0.0
! Calculated total energy, eV per atom: -5.4054
! SG: I4mm, No. 107